# 1
# MgBe3

Crystalline MgBe3 at its relaxed geometry (PBE, Alexandria).

The space group is Pmma (No. 51) and the conventional cell measures 4.3494, 3.5355 and 5.8800 Å, with angles of 90.00, 90.00 and 90.00 degrees. The distinct sites, in fractional coordinates, are Mg at (0.2500, 0.0000, 0.1705), Be at (0.0000, 0.5000, 0.5000), Be at (0.2500, 0.0000, 0.5997) and Be at (0.2500, 0.5000, 0.8337).

The calculation puts the magnetization at 0.00 μB/f.u. The calculation puts the energy of formation from the pure elements at 0.147 eV/atom.

***

# 2
# Mg3Be

Crystalline Mg3Be at its relaxed geometry (PBE, Alexandria).

The space group is I4/mmm (No. 139) and the conventional cell measures 4.4784, 4.4784 and 7.4180 Å, with angles of 90.00, 90.00 and 90.00 degrees. The distinct sites, in fractional coordinates, are Mg at (0.0000, 0.0000, 0.0000), Mg at (0.0000, 0.5000, 0.2500) and Be at (0.0000, 0.0000, 0.5000).

The calculation puts the magnetization at 0.00 μB/f.u. The calculation puts the energy of formation from the pure elements at 0.282 eV/atom.

***

# 3
# Mg2Be

Crystalline Mg2Be at its relaxed geometry (PBE, Alexandria).

The space group is P-62m (No. 189) and the conventional cell measures 7.6035, 7.6035 and 3.1147 Å, with angles of 90.00, 90.00 and 120.00 degrees. The distinct sites, in fractional coordinates, are Mg at (0.0000, 0.2742, 0.0000), Mg at (0.0000, 0.6136, 0.5000), Be at (0.0000, 0.0000, 0.5000) and Be at (0.3333, 0.6667, 0.0000).

The calculation puts the magnetization at 0.00 μB/f.u. The calculation puts the energy of formation from the pure elements at 0.258 eV/atom.

***

# 4
# MgBe3

Crystalline MgBe3 at its relaxed geometry (PBE, Alexandria).

The space group is Pmmn (No. 59, origin choice 2) and the conventional cell measures 3.6541, 4.9042 and 5.1663 Å, with angles of 90.00, 90.00 and 90.00 degrees. The distinct sites, in fractional coordinates, are Mg at (0.2500, 0.2500, 0.0987), Be at (0.2500, 0.0237, 0.6122) and Be at (0.2500, 0.7500, 0.2909).

The calculation puts the magnetization at 0.00 μB/f.u. The calculation puts the energy of formation from the pure elements at 0.162 eV/atom.